Density functional theory data (PBE) for an optimized crystal structure of YScS2.

Cell: 3.7688 3.7688 24.5132 Å, 90.00 90.00 120.00°
Last column: nearest neighbours and their distance in Å.
Element x y z (fractional)
Y  0.0000  0.0000  0.0000  2 S 2.68
Y  0.3333  0.6667  0.6667  2 S 2.68
Y  0.6667  0.3333  0.3333  2 S 2.68
Sc  0.0000  0.0000  0.5000  6 S 2.59
Sc  0.3333  0.6667  0.1667  6 S 2.59
Sc  0.6667  0.3333  0.8333  6 S 2.59
S  0.0000  0.0000  0.1093  3 Sc 2.59, 1 Y 2.68
S  0.0000  0.0000  0.8907  3 Sc 2.59, 1 Y 2.68
S  0.3333  0.6667  0.5574  3 Sc 2.59, 1 Y 2.68
S  0.3333  0.6667  0.7759  3 Sc 2.59, 1 Y 2.68
S  0.6667  0.3333  0.2241  3 Sc 2.59, 1 Y 2.68
S  0.6667  0.3333  0.4426  3 Sc 2.59, 1 Y 2.68

Summary:
Space group = R-3m
Polymorph energy (0 for the lowest one) = 422 meV per atom
Density of states at the Fermi level = 0.384 states/eV per atom
Raw formation energy = -1.51 eV per atom
Total magnetization = 0.000 μB/cell